Entry from Alexandria via LeMat-Bulk: crystalline KRb2CrO4 at its relaxed geometry (PBE with a Hubbard U).

The spin magnetization comes out at 0.125 μB/atom. The value obtained for the electronic total energy is -0.199 Ha/atom.

The structure belongs to space group Pmmn (No. 59, origin choice 2); the cell edges are 6.2646, 8.2739 and 6.4435 Å and the angles 90.00°, 90.00° and 90.00°. The asymmetric unit holds K at (0.2500, 0.2500, 0.2418), Rb at (0.2500, 0.0048, 0.7232), Cr at (0.2500, 0.7500, 0.2941), O at (0.0260, 0.7500, 0.4555) and O at (0.2500, 0.5720, 0.1551).